[1]
## Rb2MgCdIr (GGA-PBE)

Data for an optimized crystal structure of Rb2MgCdIr.

Results
- Formation energy: 0.50 eV/atom

Lattice parameters (Å, degrees): 6.453 5.037 6.453 90.00 90.00 90.00
Positions (direct):
Rb  0.000  0.000  0.500
Rb  0.500  0.000  0.000
Mg  0.000  0.500  0.000
Cd  0.500  0.500  0.500
Ir  0.000  0.000  0.000

***

[2]
## RbMg2CdIr (GGA-PBE)

Data for an optimized crystal structure of RbMg2CdIr.

Results
- Formation energy: -0.06 eV/atom

Lattice parameters (Å, degrees): 5.132 5.132 5.394 90.00 90.00 90.00
Positions (direct):
Mg  0.000  0.500  0.000
Mg  0.500  0.000  0.000
Cd  0.000  0.000  0.500
Rb  0.500  0.500  0.500
Ir  0.000  0.000  0.000

***

[3]
## Mg5Cd2Ir2Rh (GGA-PBE)

Data for an optimized crystal structure of Mg5Cd2Ir2Rh.

Results
- Formation energy: -0.21 eV/atom

Lattice parameters (Å, degrees): 3.128 10.988 10.988 90.00 90.00 90.00
Positions (direct):
Ir  0.000  0.862  0.362
Ir  0.000  0.362  0.138
Ir  0.000  0.138  0.638
Ir  0.000  0.638  0.862
Mg  0.500  0.500  0.000
Mg  0.500  0.944  0.189
Mg  0.500  0.811  0.944
Mg  0.500  0.000  0.500
Mg  0.500  0.189  0.056
Mg  0.500  0.311  0.556
Mg  0.500  0.056  0.811
Mg  0.500  0.444  0.311
Mg  0.500  0.689  0.444
Mg  0.500  0.556  0.689
Rh  0.000  0.000  0.000
Rh  0.000  0.500  0.500
Cd  0.000  0.822  0.678
Cd  0.000  0.678  0.178
Cd  0.000  0.322  0.822
Cd  0.000  0.178  0.322

***

[4]
## Mg2Sc5CdIr2 (GGA-PBE)

Data for an optimized crystal structure of Mg2Sc5CdIr2.

Results
- Formation energy: -0.46 eV/atom

Lattice parameters (Å, degrees): 3.575 11.122 11.122 90.00 90.00 90.00
Positions (direct):
Ir  0.000  0.128  0.628
Ir  0.000  0.628  0.872
Ir  0.000  0.872  0.372
Ir  0.000  0.372  0.128
Sc  0.500  0.500  0.000
Sc  0.500  0.426  0.292
Sc  0.500  0.074  0.792
Sc  0.500  0.926  0.208
Sc  0.500  0.208  0.074
Sc  0.500  0.000  0.500
Sc  0.500  0.792  0.926
Sc  0.500  0.574  0.708
Sc  0.500  0.708  0.426
Sc  0.500  0.292  0.574
Mg  0.000  0.674  0.174
Mg  0.000  0.174  0.326
Mg  0.000  0.326  0.826
Mg  0.000  0.826  0.674
Cd  0.000  0.000  0.000
Cd  0.000  0.500  0.500

***

- What is the formation energy in the third record?
  -0.21 eV/atom